# NaPrZr | the Alexandria database | PBE | relaxed
data_NaPrZr
_cell_length_a 3.3968
_cell_length_b 3.3968
_cell_length_c 16.0974
_cell_angle_alpha 90.00
_cell_angle_beta 90.00
_cell_angle_gamma 90.00
_space_group_name_H-M_alt 'P 1'
_space_group_IT_number 1
_space_group_name_Hall 'P 1'
loop_
_atom_site_label
_atom_site_fract_x
_atom_site_fract_y
_atom_site_fract_z
Na1 0.0000 0.5000 0.5931
Na2 0.5000 0.0000 0.4069
Pr1 0.0000 0.5000 0.2181
Pr2 0.5000 0.0000 0.7819
Zr1 0.5000 0.0000 0.0648
Zr2 0.0000 0.5000 0.9352
# D(E_F) (states/eV/f.u.): 3.58
# SG: P4/nmm (129)
# ΔH_f (0 K) (kJ/mol of atoms): 10.12

=====

# NaPt5 | the Alexandria database | PBE | relaxed
data_NaPt5
_cell_length_a 7.6041
_cell_length_b 7.6041
_cell_length_c 4.6953
_cell_angle_alpha 90.00
_cell_angle_beta 90.00
_cell_angle_gamma 159.33
_space_group_name_H-M_alt 'P 1'
_space_group_IT_number 1
_space_group_name_Hall 'P 1'
loop_
_atom_site_label
_atom_site_fract_x
_atom_site_fract_y
_atom_site_fract_z
Na1 0.9982 0.0018 0.0000
Pt1 0.2225 0.7775 0.5000
Pt2 0.3303 0.6697 0.0000
Pt3 0.5587 0.4413 0.5000
Pt4 0.6657 0.3343 0.0000
Pt5 0.8913 0.1087 0.5000
# D(E_F) (states/eV/f.u.): 9.31
# SG: Amm2 (38)
# ΔH_f (0 K) (kJ/mol of atoms): -0.36